CaCo2F (GGA+U, relaxed); space group = I4_1/amd (141); E = -0.26240 Ry per atom; E above lowest polymorph = 0.000 eV/atom
1.0
-2.261 2.261 8.171
2.261 -2.261 8.171
2.261 2.261 -8.171
Ca Co F
2 4 2
Direct
0.375 0.625 0.750
0.625 0.375 0.250
0.000 0.000 0.000
0.000 0.000 0.500
0.000 0.500 0.000
0.500 0.000 0.500
0.125 0.875 0.250
0.875 0.125 0.750